[1]
The following is a PBE-GGA calculation of KPAu2 after structural relaxation, from the Alexandria database.

```
4
Lattice="2.791 0.000 0.000 0.000 5.417 0.000 0.000 0.000 5.609" Properties=species:S:1:pos:R:3 pbc="T T T"
K 0.000 0.000 0.000
P 1.396 2.708 0.000
Au 0.000 2.708 2.804
Au 1.396 0.000 2.804
```

Computed properties:
- calculated formation energy (eV per formula unit) = 1.09

***

[2]
The following is a PBE-GGA calculation of KPAu after structural relaxation, from the Alexandria database.

```
3
Lattice="0.000 3.377 3.377 3.377 0.000 3.377 3.377 3.377 0.000" Properties=species:S:1:pos:R:3 pbc="T T T"
K 0.000 0.000 0.000
P 3.377 3.377 3.377
Au 5.066 5.066 5.066
```

Computed properties:
- calculated formation energy (eV per formula unit) = 0.92

***

[3]
The following is a PBE-GGA calculation of KPAu after structural relaxation, from the Alexandria database.

```
3
Lattice="4.159 0.000 0.000 -2.079 3.602 0.000 0.000 0.000 5.223" Properties=species:S:1:pos:R:3 pbc="T T T"
K 0.000 0.000 0.000
P 0.000 2.401 2.612
Au 2.079 1.201 2.612
```

Computed properties:
- calculated formation energy (eV per formula unit) = -1.07

***

[4]
The following is a PBE-GGA calculation of K2PAu2 after structural relaxation, from the Alexandria database.

```
10
Lattice="6.901 0.000 0.000 0.000 6.901 0.000 0.000 0.000 5.329" Properties=species:S:1:pos:R:3 pbc="T T T"
K 1.185 2.265 0.000
K 2.265 5.716 0.000
K 4.635 1.185 0.000
K 5.716 4.635 0.000
P 0.000 0.000 2.665
P 3.450 3.450 2.665
Au 1.061 4.511 2.665
Au 2.390 1.061 2.665
Au 4.511 5.840 2.665
Au 5.840 2.390 2.665
```

Computed properties:
- calculated formation energy (eV per formula unit) = -0.84

***

[5]
The following is a PBE-GGA calculation of KPAu2 after structural relaxation, from the Alexandria database.

```
4
Lattice="-2.249 2.249 4.130 2.249 -2.249 4.130 2.249 2.249 -4.130" Properties=species:S:1:pos:R:3 pbc="T T T"
K 0.000 0.000 0.000
P 2.249 0.000 2.065
Au 0.000 0.000 4.130
Au 0.000 2.249 2.065
```

Computed properties:
- calculated formation energy (eV per formula unit) = 1.33

***

[6]
The following is a PBE-GGA calculation of KPAu2 after structural relaxation, from the Alexandria database.

```
8
Lattice="-2.951 2.951 7.317 2.951 -2.951 7.317 2.951 2.951 -7.317" Properties=species:S:1:pos:R:3 pbc="T T T"
K 0.000 0.000 0.000
K 0.000 2.951 3.658
P 2.951 0.000 3.658
P 0.000 0.000 7.317
Au 1.475 -0.137 5.488
Au 2.813 1.475 1.829
Au 1.475 3.088 -1.829
Au 0.137 1.475 9.146
```

Computed properties:
- calculated formation energy (eV per formula unit) = -1.55

***

[7]
The following is a PBE-GGA calculation of KPAu after structural relaxation, from the Alexandria database.

```
3
Lattice="0.000 3.574 3.574 3.574 0.000 3.574 3.574 3.574 0.000" Properties=species:S:1:pos:R:3 pbc="T T T"
K 0.000 0.000 0.000
P 1.787 1.787 1.787
Au 5.360 5.360 5.360
```

Computed properties:
- calculated formation energy (eV per formula unit) = 2.68

***

[8]
The following is a PBE-GGA calculation of K3PAu5 after structural relaxation, from the Alexandria database.

```
18
Lattice="-2.939 9.254 4.155 2.939 -9.254 4.155 2.939 9.254 -4.155" Properties=species:S:1:pos:R:3 pbc="T T T"
K 2.939 -4.627 3.299
K 0.000 1.641 1.067
K 2.939 1.641 3.088
K 0.000 7.613 1.067
K 2.939 7.613 3.088
K 0.000 13.881 0.856
P 2.939 4.627 1.355
P 0.000 4.627 2.799
Au 2.939 0.000 0.000
Au 2.939 2.869 -0.188
Au 1.469 7.847 -2.077
Au 1.469 -1.407 2.077
Au 2.939 6.385 -0.188
Au 0.000 0.000 4.155
Au 0.000 2.869 4.343
Au -1.469 10.662 2.077
Au 1.469 10.662 2.077
Au 0.000 6.385 4.343
```

Computed properties:
- calculated formation energy (eV per formula unit) = -2.92

***

[9]
The following is a PBE-GGA calculation of KPAu2 after structural relaxation, from the Alexandria database.

```
4
Lattice="4.547 0.000 0.000 0.000 4.547 0.000 0.000 0.000 4.056" Properties=species:S:1:pos:R:3 pbc="T T T"
K 0.000 0.000 0.000
P 2.274 2.274 0.000
Au 0.000 2.274 2.028
Au 2.274 0.000 2.028
```

Computed properties:
- calculated formation energy (eV per formula unit) = 1.28

***

[10]
The following is a PBE-GGA calculation of KPAu2 after structural relaxation, from the Alexandria database.

```
4
Lattice="2.811 0.000 0.000 0.000 3.976 0.000 0.000 0.000 7.837" Properties=species:S:1:pos:R:3 pbc="T T T"
K 0.000 0.000 0.000
P 0.000 0.000 3.918
Au 1.405 1.988 2.429
Au 1.405 1.988 5.407
```

Computed properties:
- calculated formation energy (eV per formula unit) = 0.69

***

[11]
The following is a PBE-GGA calculation of K2P2Au7 after structural relaxation, from the Alexandria database.

```
11
Lattice="6.650 0.000 0.000 2.217 6.381 0.000 2.228 1.822 6.118" Properties=species:S:1:pos:R:3 pbc="T T T"
K 1.110 1.962 1.642
K 9.986 6.242 4.476
P 4.580 2.833 4.493
P 6.516 5.370 1.625
Au 2.182 4.990 1.349
Au 4.494 3.663 2.077
Au 6.716 7.139 5.977
Au 4.439 0.911 3.059
Au 4.379 1.065 0.141
Au 6.601 4.540 4.040
Au 8.914 3.214 4.769
```

Computed properties:
- calculated formation energy (eV per formula unit) = -1.82

***

[12]
The following is a PBE-GGA calculation of KPAu2 after structural relaxation, from the Alexandria database.

```
4
Lattice="3.103 -5.280 0.000 3.103 5.280 0.000 -1.256 0.000 2.512" Properties=species:S:1:pos:R:3 pbc="T T T"
K 0.000 0.000 0.000
P 3.103 0.000 0.000
Au 1.551 2.640 0.000
Au 1.551 -2.640 0.000
```

Computed properties:
- calculated formation energy (eV per formula unit) = 0.98

***

[13]
The following is a PBE-GGA calculation of KPAu after structural relaxation, from the Alexandria database.

```
3
Lattice="0.000 2.664 5.795 2.458 0.000 5.795 2.458 2.664 0.000" Properties=species:S:1:pos:R:3 pbc="T T T"
K 0.000 0.000 0.000
P 2.458 2.664 3.162
Au 2.458 2.664 8.469
```

Computed properties:
- calculated formation energy (eV per formula unit) = -0.29

***

[14]
The following is a PBE-GGA calculation of KPAu2 after structural relaxation, from the Alexandria database.

```
4
Lattice="5.570 0.000 0.000 0.000 2.809 0.000 -2.713 0.000 5.263" Properties=species:S:1:pos:R:3 pbc="T T T"
K 0.000 0.000 0.000
P 2.785 1.404 0.000
Au -1.356 1.404 2.632
Au 1.429 0.000 2.632
```

Computed properties:
- calculated formation energy (eV per formula unit) = 1.01

***

no.,raw total energy (eV per atom),magnetization (μB per cell)
1,-2.993,0.00
2,-2.954,0.00
3,-3.617,0.00
4,-3.001,0.00
5,-2.933,0.00
6,-3.652,0.00
7,-2.370,1.27
8,-3.112,0.00
9,-2.946,0.00
10,-3.093,0.00
11,-3.434,0.00
12,-3.022,0.00
13,-3.358,0.00
14,-3.012,0.00